# 1
The following is a PBE calculation of a relaxed structure of DyPd9Pb2, from the Alexandria database.

Cell: 4.120 4.120 12.313 Å, 90.00 90.00 90.00°
Atoms (fractional coordinates):
Dy  0.000  0.000  0.000
Pd  0.000  0.500  0.167
Pd  0.000  0.500  0.500
Pd  0.000  0.500  0.833
Pd  0.500  0.000  0.167
Pd  0.500  0.000  0.500
Pd  0.500  0.000  0.833
Pd  0.500  0.500  0.000
Pd  0.500  0.500  0.335
Pd  0.500  0.500  0.665
Pb  0.000  0.000  0.333
Pb  0.000  0.000  0.667

Computed properties:
DFT formation energy: -488 meV/atom
Electronic total energy: -64.61 eV/cell
Total moment: 0.0 Bohr magnetons per cell
DOS(E_F): 0.355 states/eV per atom


# 2
The following is a PBE calculation of a relaxed structure of RbLaRu3, from the Alexandria database.

Cell: 4.859 4.859 4.859 Å, 90.00 90.00 90.00°
Atoms (fractional coordinates):
Rb  0.000  0.000  0.000
La  0.500  0.500  0.500
Ru  0.000  0.000  0.500
Ru  0.000  0.500  0.000
Ru  0.500  0.000  0.000

Computed properties:
DFT formation energy: 2156 meV/atom
Energy above the most stable polymorph in this dataset: 0.489 eV/atom
Electronic total energy: -22.94 eV/cell
Total moment: 3.1 Bohr magnetons per cell
DOS(E_F): 1.708 states/eV per atom


# 3
The following is a PBE calculation of a relaxed structure of KAlRe, from the Alexandria database.

Cell: 6.720 6.720 6.720 Å, 150.23 150.23 42.60°
Atoms (fractional coordinates):
K  0.000  0.000  0.000
Al  0.739  0.739  0.000
Re  0.276  0.276  0.000

Computed properties:
DFT formation energy: 780 meV/atom
Energy above the most stable polymorph in this dataset: 0.143 eV/atom
Electronic total energy: -14.95 eV/cell
Total moment: 0.0 Bohr magnetons per cell
DOS(E_F): 1.143 states/eV per atom


# 4
The following is a PBE calculation of a relaxed structure of Si2BBr, from the Alexandria database.

Cell: 6.124 6.124 6.124 Å, 124.63 124.63 82.15°
Atoms (fractional coordinates):
Si  0.010  0.625  0.885
Si  0.375  0.260  0.385
Si  0.740  0.125  0.115
Si  0.875  0.990  0.615
B  0.000  0.000  0.000
B  0.750  0.250  0.500
Br  0.250  0.750  0.500
Br  0.500  0.500  0.000

Computed properties:
Energy above the most stable polymorph in this dataset: 0.000 eV/atom
Electronic total energy: -34.44 eV/cell
Total moment: 0.0 Bohr magnetons per cell
Formation energy (no corrections): 0.49 eV/atom
DOS(E_F): 0.613 states/eV per atom


# 5
The following is a PBE calculation of a relaxed structure of Mo3Au, from the Alexandria database.

Cell: 5.744 5.744 4.566 Å, 90.00 90.00 120.00°
Atoms (fractional coordinates):
Mo  0.155  0.311  0.250
Mo  0.155  0.845  0.250
Mo  0.311  0.155  0.750
Mo  0.689  0.845  0.250
Mo  0.845  0.155  0.750
Mo  0.845  0.689  0.750
Au  0.333  0.667  0.750
Au  0.667  0.333  0.250

Computed properties:
DFT formation energy: 131 meV/atom
Electronic total energy: -70.50 eV/cell
Total moment: 0.0 Bohr magnetons per cell
DOS(E_F): 0.753 states/eV per atom


# 6
The following is a PBE calculation of a relaxed structure of Ba8NaP2, from the Alexandria database.

Cell: 9.977 9.977 7.520 Å, 94.54 94.54 49.82°
Atoms (fractional coordinates):
Ba  0.085  0.085  0.334
Ba  0.119  0.613  0.104
Ba  0.288  0.288  0.561
Ba  0.387  0.881  0.896
Ba  0.613  0.119  0.104
Ba  0.712  0.712  0.439
Ba  0.881  0.387  0.896
Ba  0.915  0.915  0.666
Na  0.500  0.500  0.500
P  0.232  0.232  0.138
P  0.768  0.768  0.862

Computed properties:
DFT formation energy: -360 meV/atom
Electronic total energy: -31.48 eV/cell
Total moment: 0.3 Bohr magnetons per cell
DOS(E_F): 1.203 states/eV per atom


# 7
The following is a PBE calculation of a relaxed structure of MnSbTe2, from the Alexandria database.

Cell: 9.131 9.131 9.131 Å, 22.79 22.79 22.79°
Atoms (fractional coordinates):
Mn  0.000  0.000  0.000
Sb  0.500  0.500  0.500
Te  0.271  0.271  0.271
Te  0.729  0.729  0.729

Computed properties:
Electronic total energy: -19.44 eV/cell
Total moment: 2.5 Bohr magnetons per cell
Formation energy (no corrections): 0.03 eV/atom
DOS(E_F): 0.501 states/eV per atom


# 8
The following is a PBE calculation of a relaxed structure of ScTa2TiN4, from the Alexandria database.

Cell: 5.376 3.096 5.407 Å, 90.00 109.41 90.00°
Atoms (fractional coordinates):
Sc  0.000  0.000  0.000
Ta  0.000  0.500  0.500
Ta  0.500  0.000  0.500
Ti  0.500  0.500  0.000
N  0.254  0.500  0.251
N  0.255  0.000  0.753
N  0.745  0.000  0.247
N  0.746  0.500  0.749

Computed properties:
Electronic total energy: -82.59 eV/cell
Total moment: 0.0 Bohr magnetons per cell
Formation energy (no corrections): -1.42 eV/atom
DOS(E_F): 0.331 states/eV per atom


# 9
The following is a PBE calculation of a relaxed structure of CsCa4Br8, from the Alexandria database.

Cell: 10.315 10.315 13.950 Å, 128.57 128.57 24.40°
Atoms (fractional coordinates):
Cs  0.000  0.000  0.000
Ca  0.146  0.146  0.470
Ca  0.339  0.339  0.172
Ca  0.661  0.661  0.828
Ca  0.854  0.854  0.530
Br  0.038  0.038  0.753
Br  0.290  0.290  0.923
Br  0.335  0.335  0.656
Br  0.370  0.370  0.407
Br  0.630  0.630  0.593
Br  0.665  0.665  0.344
Br  0.710  0.710  0.077
Br  0.962  0.962  0.247

Computed properties:
Electronic total energy: -46.53 eV/cell
Total moment: 0.0 Bohr magnetons per cell
Formation energy (no corrections): -1.87 eV/atom
DOS(E_F): 0.350 states/eV per atom


# 10
The following is a PBE calculation of a relaxed structure of SrLaFe2, from the Alexandria database.

Cell: 3.860 6.509 6.509 Å, 39.43 90.00 90.00°
Atoms (fractional coordinates):
Sr  0.000  0.000  0.000
La  0.500  0.729  0.729
Fe  0.000  0.289  0.289
Fe  0.500  0.392  0.392

Computed properties:
DFT formation energy: 300 meV/atom
Electronic total energy: -22.33 eV/cell
Total moment: 3.4 Bohr magnetons per cell
DOS(E_F): 1.124 states/eV per atom


# 11
The following is a PBE calculation of a relaxed structure of PmBeSiPt6, from the Alexandria database.

Cell: 7.827 7.827 7.827 Å, 120.22 120.12 89.71°
Atoms (fractional coordinates):
Pm  0.351  0.101  0.250
Pm  0.649  0.899  0.750
Be  0.000  0.000  0.500
Be  0.000  0.500  0.000
Si  0.000  0.500  0.500
Si  0.500  0.500  0.000
Pt  0.099  0.849  0.250
Pt  0.112  0.389  0.244
Pt  0.112  0.868  0.723
Pt  0.355  0.132  0.744
Pt  0.355  0.611  0.223
Pt  0.371  0.621  0.750
Pt  0.629  0.379  0.250
Pt  0.645  0.389  0.777
Pt  0.645  0.868  0.256
Pt  0.888  0.132  0.277
Pt  0.888  0.611  0.756
Pt  0.901  0.151  0.750

Computed properties:
Electronic total energy: -110.27 eV/cell
Total moment: 0.0 Bohr magnetons per cell
Formation energy (no corrections): -0.55 eV/atom
DOS(E_F): 0.263 states/eV per atom


# 12
The following is a PBE calculation of a relaxed structure of K4NaCd2, from the Alexandria database.

Cell: 10.003 10.003 10.003 Å, 139.85 139.85 58.08°
Atoms (fractional coordinates):
K  0.000  0.500  0.500
K  0.214  0.214  0.000
K  0.500  0.000  0.500
K  0.786  0.786  0.000
Na  0.000  0.000  0.000
Cd  0.415  0.415  0.000
Cd  0.585  0.585  0.000

Computed properties:
DFT formation energy: 128 meV/atom
Energy above the most stable polymorph in this dataset: 0.136 eV/atom
Electronic total energy: -6.64 eV/cell
Total moment: 0.0 Bohr magnetons per cell
DOS(E_F): 0.912 states/eV per atom


# 13
The following is a PBE calculation of a relaxed structure of LaBe2InPb, from the Alexandria database.

Cell: 5.194 5.194 5.998 Å, 90.00 90.00 90.00°
Atoms (fractional coordinates):
La  0.000  0.000  0.000
Be  0.000  0.500  0.000
Be  0.500  0.000  0.000
In  0.000  0.000  0.500
Pb  0.500  0.500  0.500

Computed properties:
DFT formation energy: 1342 meV/atom
Electronic total energy: -12.12 eV/cell
Total moment: 0.0 Bohr magnetons per cell
DOS(E_F): 1.161 states/eV per atom


# 14
The following is a PBE calculation of a relaxed structure of Li2Ru3, from the Alexandria database.

Cell: 7.806 6.901 4.917 Å, 80.79 60.77 38.44°
Atoms (fractional coordinates):
Li  0.077  0.077  0.673
Li  0.327  0.327  0.923
Li  0.673  0.673  0.077
Li  0.923  0.923  0.327
Ru  0.125  0.125  0.125
Ru  0.279  0.279  0.471
Ru  0.471  0.471  0.279
Ru  0.529  0.529  0.721
Ru  0.721  0.721  0.529
Ru  0.875  0.875  0.875

Computed properties:
DFT formation energy: 338 meV/atom
Energy above the most stable polymorph in this dataset: 0.119 eV/atom
Electronic total energy: -59.93 eV/cell
Total moment: 0.0 Bohr magnetons per cell
DOS(E_F): 1.265 states/eV per atom


# 15
The following is a PBE calculation of a relaxed structure of Nd4Pu2Te3N2, from the Alexandria database.

Cell: 13.412 13.412 13.412 Å, 159.50 159.50 29.15°
Atoms (fractional coordinates):
Nd  0.084  0.584  0.500
Nd  0.416  0.916  0.500
Nd  0.584  0.084  0.500
Nd  0.916  0.416  0.500
Pu  0.194  0.194  0.000
Pu  0.806  0.806  0.000
Te  0.321  0.321  0.000
Te  0.500  0.500  0.000
Te  0.679  0.679  0.000
N  0.111  0.111  0.000
N  0.889  0.889  0.000

Computed properties:
Electronic total energy: -85.53 eV/cell
Total moment: 12.4 Bohr magnetons per cell
Formation energy (no corrections): -1.07 eV/atom
DOS(E_F): 2.078 states/eV per atom


# 16
The following is a PBE calculation of a relaxed structure of MgZn2Cd, from the Alexandria database.

Cell: 8.975 8.975 8.975 Å, 20.37 20.37 20.37°
Atoms (fractional coordinates):
Mg  0.000  0.000  0.000
Zn  0.416  0.416  0.416
Zn  0.585  0.585  0.585
Cd  0.834  0.834  0.834

Computed properties:
DFT formation energy: 41 meV/atom
Energy above the most stable polymorph in this dataset: 0.074 eV/atom
Electronic total energy: -4.90 eV/cell
Total moment: 0.0 Bohr magnetons per cell
DOS(E_F): 0.443 states/eV per atom


# 17
The following is a PBE calculation of a relaxed structure of Li2CaGa, from the Alexandria database.

Cell: 3.630 3.630 6.765 Å, 90.00 90.00 90.00°
Atoms (fractional coordinates):
Li  0.000  0.000  0.188
Li  0.000  0.000  0.812
Ca  0.500  0.500  0.500
Ga  0.500  0.500  0.000

Computed properties:
DFT formation energy: -106 meV/atom
Electronic total energy: -9.28 eV/cell
Total moment: 0.0 Bohr magnetons per cell
DOS(E_F): 0.796 states/eV per atom


# 18
The following is a PBE calculation of a relaxed structure of Na10B13C7, from the Alexandria database.

Cell: 8.537 7.512 7.512 Å, 140.60 90.00 90.00°
Atoms (fractional coordinates):
Na  0.243  0.000  0.000
Na  0.246  0.402  0.603
Na  0.246  0.603  0.402
Na  0.248  0.201  0.801
Na  0.248  0.801  0.201
Na  0.752  0.201  0.801
Na  0.752  0.801  0.201
Na  0.754  0.402  0.603
Na  0.754  0.603  0.402
Na  0.757  0.000  0.000
B  0.000  0.132  0.532
B  0.000  0.332  0.332
B  0.000  0.532  0.132
B  0.000  0.731  0.932
B  0.000  0.932  0.731
B  0.500  0.041  0.232
B  0.500  0.147  0.539
B  0.500  0.232  0.041
B  0.500  0.350  0.350
B  0.500  0.478  0.870
B  0.500  0.539  0.147
B  0.500  0.679  0.679
B  0.500  0.870  0.478
C  0.000  0.067  0.267
C  0.000  0.267  0.067
C  0.000  0.466  0.867
C  0.000  0.666  0.666
C  0.000  0.867  0.466
C  0.500  0.736  0.932
C  0.500  0.932  0.736

Computed properties:
DFT formation energy: 109 meV/atom
Energy above the most stable polymorph in this dataset: 0.023 eV/atom
Electronic total energy: -161.30 eV/cell
Total moment: 0.0 Bohr magnetons per cell
DOS(E_F): 0.080 states/eV per atom


# 19
The following is a PBE calculation of a relaxed structure of ZrBeW2, from the Alexandria database.

Cell: 2.778 2.778 8.412 Å, 90.00 90.00 104.27°
Atoms (fractional coordinates):
Zr  0.000  0.000  0.000
Be  0.500  0.500  0.756
W  0.000  0.000  0.554
W  0.500  0.500  0.290

Computed properties:
DFT formation energy: 188 meV/atom
Electronic total energy: -37.43 eV/cell
Total moment: 0.0 Bohr magnetons per cell
DOS(E_F): 0.541 states/eV per atom


# 20
The following is a PBE calculation of a relaxed structure of LaTb2PmHo5, from the Alexandria database.

Cell: 9.828 9.828 9.828 Å, 126.72 126.72 78.70°
Atoms (fractional coordinates):
La  0.250  0.250  0.000
La  0.750  0.750  0.000
Tb  0.116  0.616  0.731
Tb  0.384  0.116  0.500
Tb  0.616  0.884  0.500
Tb  0.884  0.384  0.269
Pm  0.250  0.750  0.500
Pm  0.750  0.250  0.500
Ho  0.000  0.000  0.000
Ho  0.072  0.163  0.500
Ho  0.163  0.663  0.091
Ho  0.337  0.428  0.500
Ho  0.428  0.928  0.091
Ho  0.500  0.500  0.000
Ho  0.572  0.072  0.909
Ho  0.663  0.572  0.500
Ho  0.837  0.337  0.909
Ho  0.928  0.837  0.500

Computed properties:
DFT formation energy: 269 meV/atom
Electronic total energy: -78.82 eV/cell
Total moment: 0.0 Bohr magnetons per cell
DOS(E_F): 1.205 states/eV per atom